Entry 1:
Entry from the Alexandria database: a geometry-optimized Na2In5Sn structure (GGA-PBE).

Lattice parameters (Å, degrees): 4.7745 6.7225 13.0303 90.00 90.00 90.00
With the nearest neighbours (Å) after each atom.
Atoms (fractional coordinates):
In 0.5000 0.2452 0.8746  4 Na 3.25-3.37, 6 In 3.33-3.35, 2 Sn 3.36
In 0.5000 0.7452 0.6254  4 Na 3.25-3.37, 6 In 3.33-3.35, 2 Sn 3.36
In 0.0000 0.4923 0.7493  7 In 3.25-3.36, 1 Sn 3.27, 4 Na 3.34-3.36
In 0.0000 0.0000 0.0000  6 In 3.25-3.33, 4 Na 3.36, 2 Sn 3.36
In 0.0000 0.5077 0.2507  7 In 3.25-3.36, 1 Sn 3.27, 4 Na 3.34-3.36
In 0.0000 0.9923 0.7507  7 In 3.25-3.36, 1 Sn 3.27, 4 Na 3.34-3.36
In 0.0000 0.5000 0.5000  6 In 3.25-3.33, 4 Na 3.36, 2 Sn 3.36
In 0.5000 0.2548 0.3746  4 Na 3.25-3.37, 6 In 3.33-3.35, 2 Sn 3.36
In 0.5000 0.7548 0.1254  4 Na 3.25-3.37, 6 In 3.33-3.35, 2 Sn 3.36
In 0.0000 0.0077 0.2493  7 In 3.25-3.36, 1 Sn 3.27, 4 Na 3.34-3.36
Na 0.5000 0.7446 0.8758  10 In 3.25-3.37, 2 Sn 3.32
Na 0.5000 0.2554 0.1242  10 In 3.25-3.37, 2 Sn 3.32
Na 0.5000 0.2446 0.6242  10 In 3.25-3.37, 2 Sn 3.32
Na 0.5000 0.7554 0.3758  10 In 3.25-3.37, 2 Sn 3.32
Sn 0.0000 0.0000 0.5000  8 In 3.27-3.36, 4 Na 3.32
Sn 0.0000 0.5000 0.0000  8 In 3.27-3.36, 4 Na 3.32

Computed properties:
The density of states at the Fermi level is 2.61 states/eV/f.u. The total energy comes out at -2.631 eV/atom. The space group is Pbam (55). For the volume, the calculation gives 418 Å³ per cell. For the total magnetic moment, the calculation gives 0.00 μB/cell. Its formation energy is -0.089 eV per atom.



Entry 2:
Entry from the Alexandria database: a geometry-optimized MnGaOs structure (GGA-PBE).

Lattice parameters (Å, degrees): 2.7891 4.9134 7.0663 63.52 89.90 73.58
With the nearest neighbours (Å) after each atom.
Atoms (fractional coordinates):
Mn 0.6061 0.2941 0.1479  1 Mn 2.09
Mn 0.3939 0.7059 0.8521  1 Mn 2.09
Ga 0.6534 0.1910 0.8088  4 Mn 2.57-2.66, 4 Os 2.75-2.77, 4 Ga 2.79-2.83
Ga 0.3466 0.8090 0.1912  4 Mn 2.57-2.66, 4 Os 2.75-2.77, 4 Ga 2.79-2.83
Os 0.8796 0.7393 0.5485  2 Mn 2.50, 5 Os 2.62-2.79, 4 Ga 2.75-2.77
Os 0.1204 0.2607 0.4515  2 Mn 2.50, 5 Os 2.62-2.79, 4 Ga 2.75-2.77

Computed properties:
The density of states at the Fermi level is 1.86 states/eV/f.u. The total energy comes out at -7.719 eV/atom. The space group is P-1 (2). For the volume, the calculation gives 82 Å³ per cell. For the total magnetic moment, the calculation gives 0.00 μB/cell. Its formation energy is 0.089 eV per atom.



Entry 3:
Entry from the Alexandria database: a geometry-optimized Rb2MgBeB structure (GGA-PBE).

Lattice parameters (Å, degrees): 6.7097 3.6938 6.7097 90.00 90.00 90.00
With the nearest neighbours (Å) after each atom.
Atoms (fractional coordinates):
B 0.0000 0.0000 0.0000  2 Be 1.85
Rb 0.0000 0.0000 0.5000  2 B 3.35, 2 Rb 3.69
Rb 0.5000 0.0000 0.0000  2 B 3.35, 2 Rb 3.69
Be 0.0000 0.5000 0.0000  2 B 1.85
Mg 0.5000 0.5000 0.5000  2 Mg 3.69, 8 Rb 3.83

Computed properties:
The density of states at the Fermi level is 2.79 states/eV/f.u. The total energy comes out at -2.107 eV/atom. The space group is P4/mmm (123). For the volume, the calculation gives 166 Å³ per cell. For the total magnetic moment, the calculation gives 0.00 μB/cell. Its formation energy is 0.680 eV per atom.



Entry 4:
Entry from the Alexandria database: a geometry-optimized Tm4MgSc3 structure (GGA-PBE).

Lattice parameters (Å, degrees): 3.2159 8.4262 8.4262 96.92 90.00 90.00
With the nearest neighbours (Å) after each atom.
Atoms (fractional coordinates):
Tm 0.5000 0.2466 0.7534  1 Mg 3.11, 5 Sc 3.20-3.22, 2 Tm 3.22
Tm 0.0000 0.7513 0.7513  4 Sc 3.15-3.24, 2 Mg 3.21, 2 Tm 3.22
Tm 0.5000 0.7534 0.2466  1 Mg 3.11, 5 Sc 3.20-3.22, 2 Tm 3.22
Tm 0.0000 0.2487 0.2487  4 Sc 3.15-3.24, 2 Mg 3.21, 2 Tm 3.22
Mg 0.5000 0.0000 0.0000  6 Tm 3.11-3.21, 2 Mg 3.22
Sc 0.0000 0.0000 0.5000  6 Tm 3.15-3.22, 2 Sc 3.22
Sc 0.5000 0.5000 0.5000  6 Tm 3.20-3.24, 2 Sc 3.22
Sc 0.0000 0.5000 0.0000  6 Tm 3.15-3.22, 2 Sc 3.22

Computed properties:
The density of states at the Fermi level is 15.72 states/eV/f.u. The total energy comes out at -4.390 eV/atom. The space group is Cmmm (65). For the volume, the calculation gives 227 Å³ per cell. For the total magnetic moment, the calculation gives 1.51 μB/cell. Its formation energy is 0.419 eV per atom.



Entry 5:
Entry from the Alexandria database: a geometry-optimized Ac3Cd2Pd9Au structure (GGA-PBE).

Lattice parameters (Å, degrees): 8.0558 8.0558 6.5549 90.00 90.00 120.00
With the nearest neighbours (Å) after each atom.
Atoms (fractional coordinates):
Pd 0.5000 0.0000 0.0000  2 Cd 2.56
Pd 0.5000 0.5000 0.0000  2 Cd 2.56
Pd 0.3392 0.1696 0.6581  1 Cd 2.57, 1 Au 2.58
Pd 0.6608 0.8304 0.3419  1 Cd 2.57, 1 Au 2.58
Pd 0.8304 0.1696 0.6581  1 Cd 2.57, 1 Au 2.58
Pd 0.1696 0.8304 0.3419  1 Cd 2.57, 1 Au 2.58
Pd 0.8304 0.6608 0.6581  1 Cd 2.57, 1 Au 2.58
Pd 0.1696 0.3392 0.3419  1 Cd 2.57, 1 Au 2.58
Pd 0.0000 0.5000 0.0000  2 Cd 2.56
Ac 0.6667 0.3333 0.3365  6 Pd 3.11-3.21, 2 Cd 3.27-3.28
Ac 0.3333 0.6667 0.6635  6 Pd 3.11-3.21, 2 Cd 3.27-3.28
Ac 0.0000 0.0000 0.0000  6 Pd 3.26, 2 Au 3.28
Cd 0.3333 0.6667 0.1640  6 Pd 2.56-2.57
Cd 0.6667 0.3333 0.8360  6 Pd 2.56-2.57
Au 0.0000 0.0000 0.5000  6 Pd 2.58

Computed properties:
The density of states at the Fermi level is 6.91 states/eV/f.u. The total energy comes out at -4.501 eV/atom. The space group is P-3m1 (164). For the volume, the calculation gives 368 Å³ per cell. For the total magnetic moment, the calculation gives 0.00 μB/cell. Its formation energy is -0.223 eV per atom.



Entry 6:
Entry from the Alexandria database: a geometry-optimized La4PrAg2 structure (GGA-PBE).

Lattice parameters (Å, degrees): 4.7878 4.7878 12.3498 78.82 78.82 60.00
With the nearest neighbours (Å) after each atom.
Atoms (fractional coordinates):
Ag 0.4035 0.4035 0.7896  6 La 3.09-3.14
Ag 0.5965 0.5965 0.2104  6 La 3.09-3.14
Pr 0.5000 0.5000 0.5000  6 La 3.41, 2 Ag 3.49
La 0.1114 0.1114 0.6657  3 Ag 3.14, 3 Pr 3.41
La 0.6984 0.6984 0.9047  3 Ag 3.09
La 0.3016 0.3016 0.0953  3 Ag 3.09
La 0.8886 0.8886 0.3343  3 Ag 3.14, 3 Pr 3.41

Computed properties:
The density of states at the Fermi level is 12.60 states/eV/f.u. The total energy comes out at -4.171 eV/atom. The space group is R-3m (166). For the volume, the calculation gives 239 Å³ per cell. For the total magnetic moment, the calculation gives 0.01 μB/cell. Its formation energy is 0.142 eV per atom.



Entry 7:
Entry from the Alexandria database: a geometry-optimized Sc2TePt2 structure (GGA-PBE).

Lattice parameters (Å, degrees): 7.7726 7.7726 3.4056 90.00 90.00 90.00
With the nearest neighbours (Å) after each atom.
Atoms (fractional coordinates):
Pt 0.8712 0.3712 0.5000  6 Sc 2.81-2.90, 1 Pt 2.83
Pt 0.6288 0.8712 0.5000  6 Sc 2.81-2.90, 1 Pt 2.83
Pt 0.1288 0.6288 0.5000  6 Sc 2.81-2.90, 1 Pt 2.83
Pt 0.3712 0.1288 0.5000  6 Sc 2.81-2.90, 1 Pt 2.83
Sc 0.8424 0.6576 0.0000  6 Pt 2.81-2.90, 2 Te 2.93
Sc 0.3424 0.8424 0.0000  6 Pt 2.81-2.90, 2 Te 2.93
Sc 0.1576 0.3424 0.0000  6 Pt 2.81-2.90, 2 Te 2.93
Sc 0.6576 0.1576 0.0000  6 Pt 2.81-2.90, 2 Te 2.93
Te 0.5000 0.5000 0.0000  4 Sc 2.93
Te 0.0000 0.0000 0.0000  4 Sc 2.93

Computed properties:
The density of states at the Fermi level is 1.71 states/eV/f.u. The value obtained for the uncorrected formation energy is -0.93 eV per atom. The total energy comes out at -6.503 eV/atom. The space group is P4/mbm (127). For the volume, the calculation gives 206 Å³ per cell. For the total magnetic moment, the calculation gives 0.00 μB/cell.



Entry 8:
Entry from the Alexandria database: a geometry-optimized Pa4PSe4 structure (GGA-PBE).

Lattice parameters (Å, degrees): 6.9175 6.9175 7.3388 118.12 118.12 90.00
With the nearest neighbours (Å) after each atom.
Atoms (fractional coordinates):
P 0.0000 0.0000 0.0000  4 Pa 2.64
Se 0.6655 0.6655 0.3311  4 Pa 2.82-2.90
Se 0.0000 0.5000 0.0000  4 Pa 2.97
Se 0.5000 0.0000 0.0000  4 Pa 2.97
Se 0.3345 0.3345 0.6689  4 Pa 2.82-2.90
Pa 0.0627 0.0627 0.7009  1 P 2.64, 2 Se 2.82-2.90
Pa 0.3617 0.9373 0.2991  1 P 2.64, 2 Se 2.82-2.90
Pa 0.9373 0.3617 0.2991  1 P 2.64, 2 Se 2.82-2.90
Pa 0.6383 0.6383 0.7009  1 P 2.64, 2 Se 2.82-2.90

Computed properties:
The density of states at the Fermi level is 14.95 states/eV/f.u. The value obtained for the uncorrected formation energy is -0.74 eV per atom. The total energy comes out at -7.110 eV/atom. The space group is I-42m (121). For the volume, the calculation gives 262 Å³ per cell. For the total magnetic moment, the calculation gives 8.67 μB/cell.